Entry 1:
# CeZrZnHg

Crystalline CeZrZnHg at its relaxed geometry (GGA-PBE, Alexandria via LeMat-Bulk).

- E above lowest polymorph (kJ/mol of formula units) = 44
- crystal system = cubic
- ΔE_f (kJ per mole of atoms) = -10.3

Lattice parameters (Å, degrees): 7.2171 7.2171 7.2171 90.00 90.00 90.00
With the nearest neighbours (Å) after each atom.
Space group F-43m (No. 216)
Asymmetric unit:
Ce (0.0000, 0.0000, 0.0000) (multiplicity 4)  4 Hg 3.13, 4 Zn 3.13
Zr (0.0000, 0.0000, 0.5000) (multiplicity 4)  4 Hg 3.13, 4 Zn 3.13
Zn (0.2500, 0.2500, 0.2500) (multiplicity 4)  4 Zr 3.13, 4 Ce 3.13
Hg (0.2500, 0.2500, 0.7500) (multiplicity 4)  4 Zr 3.13, 4 Ce 3.13

---

Entry 2:
# CdPdSe2N

Crystalline CdPdSe2N at its relaxed geometry (GGA-PBE, Alexandria via LeMat-Bulk).

- E above lowest polymorph (kJ/mol of formula units) = 342
- crystal system = tetragonal

Lattice parameters (Å, degrees): 5.2780 5.2780 4.0893 90.00 90.00 90.00
With the nearest neighbours (Å) after each atom.
Space group P4/mmm (No. 123)
Asymmetric unit:
Cd (0.0000, 0.0000, 0.0000) (multiplicity 1)  2 N 2.04
Pd (0.5000, 0.5000, 0.5000) (multiplicity 1)  8 Se 3.34, 4 N 3.73
Se (0.0000, 0.5000, 0.0000) (multiplicity 2)  2 Cd 2.64
N (0.0000, 0.0000, 0.5000) (multiplicity 1)  2 Cd 2.04

---

> What is the E above lowest polymorph in the second record?

342 kJ/mol of formula units